1.
This record from the Alexandria database describes a relaxed BaFePCl2 crystal. The functional is GGA-PBE.

The structure in extended XYZ format:
```
5
Lattice="5.012 0.000 0.000 0.000 5.012 0.000 0.000 0.000 4.365" Properties=species:S:1:pos:R:3 pbc="T T T"
Ba 0.000 0.000 0.000
Fe 2.506 2.506 2.183
P 2.506 2.506 0.000
Cl 0.000 2.506 2.183
Cl 2.506 0.000 2.183
```

Values from the calculation:
* formation energy without anion corrections: -0.844 eV per atom
* E above lowest polymorph: 0.0 meV/atom

2.
This record from the Alexandria database describes a relaxed Dy2Be2Pd5 crystal. The functional is GGA-PBE.

The structure in extended XYZ format:
```
9
Lattice="4.048 0.000 0.000 0.000 4.048 0.000 0.000 0.000 8.965" Properties=species:S:1:pos:R:3 pbc="T T T"
Dy 0.000 0.000 0.000
Dy 0.000 0.000 4.482
Be 2.024 2.024 1.193
Be 2.024 2.024 7.772
Pd 0.000 2.024 2.304
Pd 0.000 2.024 6.661
Pd 2.024 0.000 2.304
Pd 2.024 0.000 6.661
Pd 2.024 2.024 4.482
```

Values from the calculation:
* DFT total energy: -5.48 eV per atom

3.
This record from the Alexandria database describes a relaxed Sr2TcSb crystal. The functional is GGA-PBE.

The structure in extended XYZ format:
```
8
Lattice="-5.640 5.640 2.559 5.640 -5.640 2.559 5.640 5.640 -2.559" Properties=species:S:1:pos:R:3 pbc="T T T"
Sr -0.807 2.820 0.640
Sr 2.820 4.833 1.919
Sr 0.807 8.459 0.640
Sr -2.820 6.446 1.919
Tc 0.000 0.000 0.000
Tc 0.000 5.640 1.280
Sb 5.640 0.000 1.280
Sb 0.000 0.000 2.559
```

Values from the calculation:
* formation energy without anion corrections: 0.160 eV per atom

4.
This record from the Alexandria database describes a relaxed Sm2NiI2 crystal. The functional is GGA-PBE.

The structure in extended XYZ format:
```
5
Lattice="3.548 -2.047 0.000 3.548 2.047 0.000 -2.612 0.000 12.191" Properties=species:S:1:pos:R:3 pbc="T T T"
Sm 1.184 0.000 1.571
Sm 3.300 0.000 10.620
Ni 3.548 0.000 0.000
I -1.432 0.000 8.426
I 5.916 0.000 3.766
```

Values from the calculation:
* formation energy without anion corrections: -0.880 eV per atom

5.
This record from the Alexandria database describes a relaxed BeInN2 crystal. The functional is GGA-PBE.

The structure in extended XYZ format:
```
4
Lattice="1.684 0.972 5.410 -1.684 0.972 5.410 0.000 -1.945 5.410" Properties=species:S:1:pos:R:3 pbc="T T T"
Be 0.000 0.000 0.000
In 0.000 0.000 8.115
N 0.000 0.000 1.529
N 0.000 0.000 14.700
```

Values from the calculation:
* formation energy without anion corrections: 0.259 eV per atom
* E above lowest polymorph: 183.5 meV/atom

6.
This record from the Alexandria database describes a relaxed AcLaZr crystal. The functional is GGA-PBE.

The structure in extended XYZ format:
```
3
Lattice="-1.792 1.792 7.819 1.792 -1.792 7.819 1.792 1.792 -7.819" Properties=species:S:1:pos:R:3 pbc="T T T"
Ac 0.000 0.000 0.000
La 0.000 0.000 4.785
Zr 0.000 0.000 10.282
```

Values from the calculation:
* E above lowest polymorph: 0.0 meV/atom

7.
This record from the Alexandria database describes a relaxed Lu2PaHg crystal. The functional is GGA-PBE.

The structure in extended XYZ format:
```
4
Lattice="3.416 0.000 0.000 0.000 3.416 0.000 0.000 0.000 8.768" Properties=species:S:1:pos:R:3 pbc="T T T"
Lu 0.000 0.000 2.069
Lu 0.000 0.000 6.700
Pa 1.708 1.708 4.384
Hg 1.708 1.708 0.000
```

Values from the calculation:
* E above lowest polymorph: 0.0 meV/atom

8.
This record from the Alexandria database describes a relaxed Sm6Zn2Hg crystal. The functional is GGA-PBE.

The structure in extended XYZ format:
```
18
Lattice="-4.962 5.067 5.120 4.962 -5.067 5.120 4.962 5.067 -5.120" Properties=species:S:1:pos:R:3 pbc="T T T"
Sm 4.962 -2.878 3.287
Sm 2.948 0.000 2.526
Sm 6.976 0.000 2.526
Sm 3.176 2.720 0.000
Sm 6.748 2.720 0.000
Sm 0.000 2.189 1.833
Sm 4.962 2.878 3.287
Sm -1.786 2.348 5.120
Sm 1.786 2.348 5.120
Sm -2.014 5.067 2.594
Sm 2.014 5.067 2.594
Sm 0.000 7.945 1.833
Zn 1.334 0.000 0.000
Zn 8.590 0.000 0.000
Zn 0.000 0.000 3.845
Zn 0.000 0.000 6.396
Hg 4.962 0.000 0.000
Hg 0.000 5.067 0.000
```

Values from the calculation:
* E above lowest polymorph: 0.0 meV/atom

9.
This record from the Alexandria database describes a relaxed TaMo3 crystal. The functional is GGA-PBE.

The structure in extended XYZ format:
```
8
Lattice="3.190 0.000 0.000 0.000 3.190 0.000 0.000 0.000 12.893" Properties=species:S:1:pos:R:3 pbc="T T T"
Ta 0.797 0.797 0.876
Ta 2.392 2.392 12.017
Mo 0.797 0.797 4.068
Mo 0.797 0.797 7.222
Mo 0.797 0.797 10.373
Mo 2.392 2.392 2.520
Mo 2.392 2.392 5.671
Mo 2.392 2.392 8.825
```

Values from the calculation:
* DFT total energy: -11.18 eV per atom

10.
This record from the Alexandria database describes a relaxed TaV2PtN crystal. The functional is GGA-PBE.

The structure in extended XYZ format:
```
5
Lattice="3.945 0.000 0.000 0.000 3.945 0.000 0.000 0.000 4.241" Properties=species:S:1:pos:R:3 pbc="T T T"
Ta 0.000 0.000 0.000
V 0.000 1.973 2.121
V 1.973 0.000 2.121
Pt 1.973 1.973 0.000
N 0.000 0.000 2.121
```

Values from the calculation:
* formation energy without anion corrections: -0.775 eV per atom

11.
This record from the Alexandria database describes a relaxed NaTlAgF3 crystal. The functional is GGA-PBE.

The structure in extended XYZ format:
```
12
Lattice="6.871 0.000 0.000 0.000 3.559 0.000 -0.747 0.000 8.436" Properties=species:S:1:pos:R:3 pbc="T T T"
Na 0.470 0.890 3.031
Na 5.654 2.669 5.406
Tl 2.176 2.669 5.867
Tl 3.949 0.890 2.569
Ag 2.339 2.669 0.223
Ag 3.785 0.890 8.213
F 0.396 0.890 5.329
F 1.166 0.890 0.931
F 2.114 2.669 3.498
F 4.011 0.890 4.938
F 4.958 2.669 7.506
F 5.729 2.669 3.107
```

Values from the calculation:
* formation energy without anion corrections: -1.793 eV per atom

12.
This record from the Alexandria database describes a relaxed KPtW3 crystal. The functional is GGA-PBE.

The structure in extended XYZ format:
```
5
Lattice="4.446 0.000 0.000 0.000 4.446 0.000 0.000 0.000 4.446" Properties=species:S:1:pos:R:3 pbc="T T T"
K 0.000 0.000 0.000
Pt 2.223 2.223 2.223
W 0.000 0.000 2.223
W 0.000 2.223 0.000
W 2.223 0.000 0.000
```

Values from the calculation:
* E above lowest polymorph: 1208.1 meV/atom

13.
This record from the Alexandria database describes a relaxed La2TlCo crystal. The functional is GGA-PBE.

The structure in extended XYZ format:
```
4
Lattice="5.050 0.000 0.000 0.000 3.908 0.000 -2.524 0.000 5.542" Properties=species:S:1:pos:R:3 pbc="T T T"
La 0.000 0.000 0.000
La 0.001 1.954 3.503
Tl 2.527 0.000 2.209
Co 2.517 1.954 0.246
```

Values from the calculation:
* DFT total energy: -5.00 eV per atom

14.
This record from the Alexandria database describes a relaxed Ce3As3Rh2 crystal. The functional is GGA-PBE.

The structure in extended XYZ format:
```
16
Lattice="2.123 -5.404 0.000 2.123 5.404 0.000 0.000 0.000 14.642" Properties=species:S:1:pos:R:3 pbc="T T T"
Ce 2.123 4.539 8.850
Ce 2.123 4.539 13.113
Ce 2.123 1.569 10.981
Ce 2.123 -1.569 3.660
Ce 2.123 -4.539 1.529
Ce 2.123 -4.539 5.792
As 2.123 1.531 3.660
As 2.123 1.361 7.994
As 2.123 1.361 13.969
As 2.123 -1.361 0.673
As 2.123 -1.361 6.648
As 2.123 -1.531 10.981
Rh 2.123 3.032 1.564
Rh 2.123 3.032 5.756
Rh 2.123 -3.032 8.885
Rh 2.123 -3.032 13.077
```

Values from the calculation:
* DFT total energy: -6.91 eV per atom

15.
This record from the Alexandria database describes a relaxed Ac8Ga2Pd crystal. The functional is GGA-PBE.

The structure in extended XYZ format:
```
11
Lattice="9.994 -2.708 0.000 9.994 2.708 0.000 -1.337 0.000 7.361" Properties=species:S:1:pos:R:3 pbc="T T T"
Ac 0.091 0.000 2.022
Ac 3.107 0.000 6.031
Ac 6.216 0.000 3.850
Ac 8.089 0.000 0.300
Ac 10.562 0.000 7.061
Ac 12.436 0.000 3.511
Ac 15.544 0.000 1.330
Ac 18.561 0.000 5.339
Ga 3.453 0.000 1.852
Ga 15.199 0.000 5.509
Pd 9.326 0.000 3.680
```

Values from the calculation:
* DFT total energy: -4.28 eV per atom

16.
This record from the Alexandria database describes a relaxed Pu4BSb2 crystal. The functional is GGA-PBE.

The structure in extended XYZ format:
```
7
Lattice="-2.390 2.390 8.191 2.390 -2.390 8.191 2.390 2.390 -8.191" Properties=species:S:1:pos:R:3 pbc="T T T"
Pu 2.390 0.000 0.000
Pu 0.000 0.000 2.685
Pu 0.000 2.390 0.000
Pu 0.000 0.000 13.697
B 0.000 0.000 0.000
Sb 0.000 0.000 5.899
Sb 0.000 0.000 10.483
```

Values from the calculation:
* formation energy without anion corrections: -0.320 eV per atom

17.
This record from the Alexandria database describes a relaxed Cr2BRh crystal. The functional is GGA-PBE.

The structure in extended XYZ format:
```
8
Lattice="-1.654 1.654 8.467 1.654 -1.654 8.467 1.654 1.654 -8.467" Properties=species:S:1:pos:R:3 pbc="T T T"
Cr 2.481 0.667 -2.117
Cr 0.667 0.827 2.117
Cr -0.827 0.987 6.350
Cr 0.987 0.827 10.583
B 0.000 0.000 0.000
B 0.000 1.654 4.233
Rh 1.654 0.000 4.233
Rh 0.000 0.000 8.467
```

Values from the calculation:
* DFT total energy: -7.89 eV per atom

18.
This record from the Alexandria database describes a relaxed InI3 crystal. The functional is GGA-PBE.

The structure in extended XYZ format:
```
4
Lattice="-1.971 6.105 3.949 1.971 -6.105 3.949 1.971 6.105 -3.949" Properties=species:S:1:pos:R:3 pbc="T T T"
In 0.000 0.000 0.000
I 1.971 1.963 -1.124
I 1.971 0.000 2.269
I 0.000 4.141 2.824
```

Values from the calculation:
* formation energy without anion corrections: -0.340 eV per atom

19.
This record from the Alexandria database describes a relaxed Ag2TeCl crystal. The functional is GGA-PBE.

The structure in extended XYZ format:
```
4
Lattice="4.412 -1.665 0.000 4.412 1.665 0.000 -0.680 0.000 6.890" Properties=species:S:1:pos:R:3 pbc="T T T"
Ag 0.000 0.000 0.000
Ag 6.326 0.000 1.491
Te 1.751 0.000 5.644
Cl 3.910 0.000 2.554
```

Values from the calculation:
* formation energy without anion corrections: -0.141 eV per atom
* E above lowest polymorph: 52.3 meV/atom

20.
This record from the Alexandria database describes a relaxed VH6Cl12 crystal. The functional is GGA-PBE.

The structure in extended XYZ format:
```
19
Lattice="7.601 4.388 2.660 -7.601 4.388 2.660 0.000 -8.777 2.660" Properties=species:S:1:pos:R:3 pbc="T T T"
V 0.000 0.000 0.000
H -1.027 -5.133 2.579
H -3.932 3.456 2.579
H -4.959 -1.677 5.399
H 4.959 1.677 2.579
H 3.932 -3.456 5.399
H 1.027 5.133 5.399
Cl -1.847 0.010 1.320
Cl 0.914 -1.604 1.320
Cl -0.819 -4.127 3.372
Cl -3.983 -1.354 4.606
Cl 0.932 1.594 1.320
Cl -3.165 2.772 3.372
Cl 3.165 -2.772 4.606
Cl -0.932 -1.594 6.659
Cl 3.983 1.354 3.372
Cl 0.819 4.127 4.606
Cl -0.914 1.604 6.659
Cl 1.847 -0.010 6.659
```

Values from the calculation:
* DFT total energy: -3.26 eV per atom

21.
This record from the Alexandria database describes a relaxed SrNdTlI6 crystal. The functional is GGA-PBE.

The structure in extended XYZ format:
```
18
Lattice="8.280 0.000 0.000 -4.140 7.171 0.000 0.000 0.000 15.092" Properties=species:S:1:pos:R:3 pbc="T T T"
Sr 0.000 4.781 3.773
Sr 4.140 2.390 11.319
Nd 0.000 4.781 11.319
Nd 4.140 2.390 3.773
Tl 0.000 0.000 0.000
Tl 0.000 0.000 7.546
I -1.403 2.643 9.494
I -2.553 4.635 13.144
I 1.403 2.643 13.144
I -1.150 7.064 9.494
I 2.990 0.107 1.948
I 1.587 2.536 5.598
I 2.553 4.635 9.494
I 1.150 7.064 13.144
I 5.290 0.107 5.598
I 2.737 4.528 1.948
I 6.693 2.536 1.948
I 5.543 4.528 5.598
```

Values from the calculation:
* formation energy without anion corrections: -1.342 eV per atom

22.
This record from the Alexandria database describes a relaxed PaPbIO6 crystal. The functional is GGA-PBE.

The structure in extended XYZ format:
```
18
Lattice="5.820 0.000 0.000 -2.910 5.040 0.000 0.000 0.000 10.485" Properties=species:S:1:pos:R:3 pbc="T T T"
Pa 0.000 3.360 2.621
Pa 2.910 1.680 7.863
Pb 0.000 0.000 0.000
Pb 0.000 0.000 5.242
I 0.000 3.360 7.863
I 2.910 1.680 2.621
O -1.025 1.876 6.747
O -1.798 3.215 8.979
O 1.025 1.876 8.979
O -0.773 4.991 6.747
O 2.137 0.050 1.505
O 1.112 1.826 3.737
O 1.798 3.215 6.747
O 0.773 4.991 8.979
O 3.683 0.050 3.737
O 1.885 3.165 1.505
O 4.709 1.826 1.505
O 3.935 3.165 3.737
```

Values from the calculation:
* formation energy without anion corrections: -1.699 eV per atom

23.
This record from the Alexandria database describes a relaxed CeY3Al4 crystal. The functional is GGA-PBE.

The structure in extended XYZ format:
```
8
Lattice="3.583 0.000 0.000 0.000 5.147 0.000 0.000 0.000 10.349" Properties=species:S:1:pos:R:3 pbc="T T T"
Ce 0.000 0.000 0.000
Y 0.000 0.000 5.175
Y 0.000 2.574 2.596
Y 0.000 2.574 7.753
Al 1.792 0.000 2.644
Al 1.792 0.000 7.705
Al 1.792 2.574 0.000
Al 1.792 2.574 5.175
```

Values from the calculation:
* DFT total energy: -5.41 eV per atom

24.
This record from the Alexandria database describes a relaxed GaAg2 crystal. The functional is GGA-PBE.

The structure in extended XYZ format:
```
6
Lattice="0.000 3.883 3.883 3.883 0.000 3.883 3.883 3.883 0.000" Properties=species:S:1:pos:R:3 pbc="T T T"
Ga 0.971 0.971 0.971
Ga 6.795 6.795 6.795
Ag 3.883 1.942 1.942
Ag 1.942 3.883 1.942
Ag 1.942 1.942 3.883
Ag 3.883 3.883 3.883
```

Values from the calculation:
* DFT total energy: -2.75 eV per atom

no.,volume (Å³ per cell)
1,109.7
2,146.9
3,325.6
4,177.1
5,53.2
6,100.4
7,102.3
8,515.0
9,131.2
10,66.0
11,206.3
12,87.9
13,109.4
14,336.0
15,398.5
16,187.2
17,92.7
18,190.1
19,101.2
20,532.2
21,896.1
22,307.6
23,190.9
24,117.1